Here is a relaxed Ca2BSbN crystal from Alexandria via LeMat-Bulk. Energies are from PBE-GGA.

Computed properties:
- magnetization (μB per formula unit) = 1.2
- space-group type = P4/mmm (123)
- formation energy (no corrections) (eV/atom) = 1.186

Lattice parameters (Å, degrees): 5.827 4.373 5.827 90.00 90.00 90.00
Site moments in Bohr magnetons follow the coordinates.
Atoms (fractional coordinates):
B1 0.000 0.500 0.000  0.06
Ca1 0.000 0.000 0.500  -0.04
Sb1 0.000 0.000 0.000  -0.01
Ca2 0.500 0.000 0.000  -0.03
N1 0.500 0.500 0.500  0.92



Here is a relaxed CaBSb2N crystal from Alexandria via LeMat-Bulk. Energies are from PBE-GGA.

Computed properties:
- magnetization (μB per formula unit) = 0.0
- space-group type = P4/mmm (123)
- formation energy (no corrections) (eV/atom) = 0.664

Lattice parameters (Å, degrees): 4.634 4.698 4.634 90.00 90.00 90.00
Atoms (fractional coordinates):
B1 0.500 0.500 0.500
Sb1 0.500 0.000 0.000
Ca1 0.000 0.500 0.000
Sb2 0.000 0.000 0.500
N1 0.000 0.000 0.000